a.
The following is a GGA-PBEsol calculation of a relaxed structure of YTl5, from the Alexandria database.

Calculated values
* N(E_F): 3.62 states/eV per cell

Lattice parameters (Å, degrees): 3.684 3.684 12.124 90.00 90.00 90.00
Space group P4/mmm (No. 123)
One atom of each set of equivalent atoms:
Y1 0.000 0.000 0.000 (multiplicity 1)
Tl1 0.000 0.000 0.324 (multiplicity 2)
Tl2 0.500 0.500 0.158 (multiplicity 2)
Tl3 0.500 0.500 0.500 (multiplicity 1)



b.
The following is a GGA-PBEsol calculation of a relaxed structure of YTl5, from the Alexandria database.

Calculated values
* N(E_F): 3.21 states/eV per cell

Lattice parameters (Å, degrees): 4.719 4.452 7.737 90.00 101.17 90.00
Space group P2/m (No. 10)
One atom of each set of equivalent atoms:
Y1 0.000 0.000 0.000 (multiplicity 1)
Tl1 0.135 0.500 0.330 (multiplicity 2)
Tl2 0.361 0.000 0.672 (multiplicity 2)
Tl3 0.500 0.500 0.000 (multiplicity 1)



Decreasing stability: b, a



a.
The following is a GGA-PBEsol calculation of a relaxed structure of YTl5, from the Alexandria database.

Calculated values
* N(E_F): 7.25 states/eV per cell

Lattice parameters (Å, degrees): 5.192 4.033 15.390 90.00 90.00 90.00
Space group Amm2 (No. 38)
One atom of each set of equivalent atoms:
Y1 0.000 0.000 0.000 (multiplicity 2)
Tl1 0.000 0.000 0.333 (multiplicity 2)
Tl2 0.000 0.000 0.667 (multiplicity 2)
Tl3 0.500 0.000 0.167 (multiplicity 2)
Tl4 0.500 0.000 0.500 (multiplicity 2)
Tl5 0.500 0.000 0.834 (multiplicity 2)



b.
The following is a GGA-PBEsol calculation of a relaxed structure of YTl5, from the Alexandria database.

Calculated values
* N(E_F): 7.63 states/eV per cell

Lattice parameters (Å, degrees): 12.055 3.584 8.007 90.00 110.23 90.00
Space group Cm (No. 8)
One atom of each set of equivalent atoms:
Y1 0.000 0.000 0.000 (multiplicity 2)
Tl1 0.026 0.000 0.586 (multiplicity 2)
Tl2 0.181 0.500 0.345 (multiplicity 2)
Tl3 0.206 0.500 0.931 (multiplicity 2)
Tl4 0.320 0.000 0.682 (multiplicity 2)
Tl5 0.387 0.000 0.243 (multiplicity 2)



Decreasing stability: a, b